PBE Dy6Tl2Zn, optimized geometry; spin magnetization = 0.000 μB/atom; symmetry = Immm, No. 71
1.0
-3.9829 0.6407 3.1163
-1.7083 -6.9793 -0.7484
7.2628 1.4443 4.8197
Dy Tl Zn
6 2 1
direct
0.1603 0.4032 0.3214
0.5000 0.2345 0.0000
0.5000 0.7655 0.0000
0.1603 0.9181 0.3214
0.8397 0.0819 0.6786
0.8397 0.5968 0.6786
0.6662 0.6667 0.3335
0.3338 0.3333 0.6665
0.0000 0.0000 0.0000

***

PBE Dy7Tl2Zn2, optimized geometry; spin magnetization = 0.000 μB/atom; symmetry = Cmmm, No. 65
1.0
6.6810 -0.0024 -1.0040
0.0035 7.5874 0.0032
-1.4183 -0.0024 6.6054
Dy Tl Zn
7 2 2
direct
0.5000 0.2750 0.0000
0.0000 0.2750 0.5000
0.0000 0.7250 0.5000
0.5000 0.2320 0.5000
0.5000 0.7250 0.0000
0.0000 0.0000 0.0000
0.5000 0.7680 0.5000
0.8102 0.5000 0.8102
0.1898 0.5000 0.1898
0.2855 0.0000 0.7145
0.7145 0.0000 0.2855

***

PBE DyTlZn, optimized geometry; spin magnetization = 0.000 μB/atom; symmetry = Pmma, No. 51
1.0
-2.0844 3.2408 0.6470
-6.5807 -3.8807 -1.7630
-1.4391 -3.5646 13.2183
Dy Zn Tl
6 6 6
direct
0.0000 0.7713 0.0548
0.0000 0.1810 0.2500
0.0000 0.2287 0.5548
0.0000 0.2287 0.9452
0.0000 0.7713 0.4452
0.0000 0.8190 0.7500
0.0000 0.5717 0.2500
0.5000 0.9346 0.5867
0.0000 0.4283 0.7500
0.5000 0.9346 0.9133
0.5000 0.0654 0.4133
0.5000 0.0654 0.0867
0.5000 0.5661 0.6128
0.5000 0.4339 0.1128
0.5000 0.5661 0.8872
0.5000 0.1564 0.7500
0.5000 0.8436 0.2500
0.5000 0.4339 0.3872

***

PBE Dy8Tl2Zn, optimized geometry; spin magnetization = 0.000 μB/atom; symmetry = C2/m, No. 12
1.0
5.1771 0.0000 0.0000
0.0000 6.7660 0.2919
-2.5885 -2.5128 8.9422
Dy Zn Tl
8 1 2
direct
0.0168 0.7712 0.0335
0.3473 0.0262 0.6946
0.9832 0.2288 0.9665
0.5908 0.4588 0.1817
0.4092 0.5412 0.8183
0.7974 0.6980 0.5948
0.6527 0.9738 0.3054
0.2026 0.3020 0.4052
0.5000 0.0000 0.0000
0.8141 0.2539 0.6281
0.1859 0.7461 0.3719

***

PBE DyTlZn, optimized geometry; spin magnetization = 0.000 μB/atom; symmetry = F-43m, No. 216
1.0
-1.3260 4.3431 -1.2496
-3.3718 0.5937 -3.2343
-4.2293 1.6306 1.2792
Dy Zn Tl
1 1 1
direct
0.5000 0.5000 0.5000
0.2500 0.2500 0.2500
0.0000 0.0000 0.0000

***

PBE Dy5Tl5Zn2, optimized geometry; spin magnetization = 0.000 μB/atom; symmetry = C2/m, No. 12
1.0
-1.8312 -2.4306 -3.6112
6.5299 -2.4890 -4.7238
-1.9934 -7.7217 3.1203
Dy Tl Zn
5 5 2
direct
0.3423 0.9846 0.3308
0.3105 0.3051 0.0739
0.0000 0.5000 0.5000
0.6577 0.0154 0.6692
0.6895 0.6949 0.9261
0.0310 0.7198 0.2183
0.3035 0.7552 0.6379
0.0000 0.0000 0.0000
0.9690 0.2802 0.7817
0.6965 0.2448 0.3621
0.3908 0.4579 0.7605
0.6092 0.5421 0.2395

***

PBE Dy5Tl2Zn, optimized geometry; spin magnetization = 0.000 μB/atom; symmetry = Cmcm, No. 63
1.0
-0.7159 2.2418 5.1299
-4.8082 -4.8142 -1.6719
7.4463 -9.1930 5.0565
Tl Dy Zn
4 10 2
direct
0.2003 0.4005 0.8781
0.7997 0.5995 0.3781
0.2003 0.4005 0.6219
0.7997 0.5995 0.1219
0.9438 0.8875 0.6098
0.0562 0.1125 0.1098
0.9438 0.8875 0.8902
0.6181 0.2363 0.5499
0.3819 0.7637 0.0499
0.0562 0.1125 0.3902
0.4058 0.8115 0.7500
0.6181 0.2363 0.9501
0.5942 0.1885 0.2500
0.3819 0.7637 0.4501
0.7567 0.5134 0.7500
0.2433 0.4866 0.2500

***

PBE DyTl2Zn, optimized geometry; spin magnetization = 0.000 μB/atom; symmetry = P4/mmm, No. 123
1.0
4.5365 0.0000 0.0000
0.0000 4.6141 0.0000
0.0000 0.0000 4.6141
Tl Dy Zn
2 1 1
direct
0.0000 0.5000 0.0000
0.0000 0.0000 0.5000
0.5000 0.5000 0.5000
0.5000 0.0000 0.0000

***

For each record above, in turn, the calculated calculated volume values are 281.7; 324.0; 421.7; 317.0; 73.9; 307.7; 465.7; 96.6 Å³/cell.
For each record above, in turn, the calculated energy values are -3.7435; -3.5974; -3.0320; -4.0425; -3.0060; -3.4085; -3.6658; -2.8449 eV per atom.
For each record above, in turn, the calculated calculated formation energy values are -0.07; -0.08; -0.85; -1.64; -0.78; -3.51; -0.31; -0.77 eV per formula unit.